[1]
A plane-wave DFT calculation with PBE was carried out for Tl2Zn2Ga15 after structural relaxation.

The space group is R-3m (No. 166, hexagonal axes) and the conventional cell measures 9.5142, 9.5142 and 14.7626 Å, with angles of 90.00, 90.00 and 120.00 degrees. The inequivalent atoms are Tl at (0.0000, 0.0000, 0.1590), Zn at (0.0000, 0.0000, 0.3968), Ga at (0.0000, 0.2876, 0.5000), Ga at (0.0000, 0.5000, 0.0000) and Ga at (0.0057, 0.5028, 0.6380).

The energy of formation from the pure elements comes out at 58.1 meV/atom.


[2]
A plane-wave DFT calculation with PBE was carried out for TlZnGa4 after structural relaxation.

The space group is F-43m (No. 216) and the conventional cell measures 8.015, 8.015 and 8.015 Å, with angles of 90.00, 90.00 and 90.00 degrees. The inequivalent atoms are Tl at (0.000, 0.000, 0.000), Zn at (0.250, 0.250, 0.750) and Ga at (0.124, 0.124, 0.376).

Its relative energy among the computed polymorphs is 90 meV/atom. The energy of formation from the pure elements comes out at 139.0 meV/atom.


[3]
A plane-wave DFT calculation with PBE was carried out for TlZnGa3 after structural relaxation.

The space group is Pm-3m (No. 221) and the conventional cell measures 4.952, 4.952 and 4.952 Å, with angles of 90.00, 90.00 and 90.00 degrees. The inequivalent atoms are Tl at (0.000, 0.000, 0.000), Zn at (0.500, 0.500, 0.500) and Ga at (0.000, 0.500, 0.500).

Its relative energy among the computed polymorphs is 171 meV/atom. The energy of formation from the pure elements comes out at 237.9 meV/atom.


[4]
A plane-wave DFT calculation with PBE was carried out for TlZn2Ga after structural relaxation.

The space group is Fm-3m (No. 225) and the conventional cell measures 6.934, 6.934 and 6.934 Å, with angles of 90.00, 90.00 and 90.00 degrees. The inequivalent atoms are Tl at (0.000, 0.000, 0.000), Zn at (0.250, 0.250, 0.250) and Ga at (0.000, 0.000, 0.500).

Its relative energy among the computed polymorphs is 74 meV/atom. The energy of formation from the pure elements comes out at 199.2 meV/atom.


[5]
A plane-wave DFT calculation with PBE was carried out for Tl2ZnGa after structural relaxation.

The space group is P4/mmm (No. 123) and the conventional cell measures 3.657, 3.657 and 7.308 Å, with angles of 90.00, 90.00 and 90.00 degrees. The inequivalent atoms are Tl at (0.000, 0.000, 0.241), Zn at (0.500, 0.500, 0.000) and Ga at (0.500, 0.500, 0.500).

Its relative energy among the computed polymorphs is 0 meV/atom. The energy of formation from the pure elements comes out at 142.3 meV/atom.


[6]
A plane-wave DFT calculation with PBE was carried out for TlZn3Ga2 after structural relaxation.

The space group is Cmcm (No. 63) and the conventional cell measures 10.143, 8.669 and 5.456 Å, with angles of 90.00, 90.00 and 90.00 degrees. The inequivalent atoms are Tl at (0.000, 0.177, 0.250), Zn at (0.000, 0.453, 0.750), Zn at (0.154, 0.217, 0.750) and Ga at (0.225, 0.500, 0.000).

The energy of formation from the pure elements comes out at 62.0 meV/atom.


[7]
A plane-wave DFT calculation with PBE was carried out for TlZnGa3 after structural relaxation.

The space group is Pnna (No. 52) and the conventional cell measures 13.022, 5.702 and 5.702 Å, with angles of 90.00, 90.00 and 90.00 degrees. The inequivalent atoms are Tl at (0.250, 0.000, 0.001), Zn at (0.000, 0.250, 0.250), Ga at (0.001, 0.750, 0.250) and Ga at (0.142, 0.002, 0.501).

Its relative energy among the computed polymorphs is 0 meV/atom. The energy of formation from the pure elements comes out at 66.4 meV/atom.


[8]
A plane-wave DFT calculation with PBE was carried out for Tl2ZnGa2 after structural relaxation.

The space group is I4/mmm (No. 139) and the conventional cell measures 3.739, 3.739 and 17.762 Å, with angles of 90.00, 90.00 and 90.00 degrees. The inequivalent atoms are Tl at (0.000, 0.000, 0.099), Zn at (0.000, 0.000, 0.500) and Ga at (0.000, 0.500, 0.250).

Its relative energy among the computed polymorphs is 67 meV/atom. The energy of formation from the pure elements comes out at 156.5 meV/atom.


[9]
A plane-wave DFT calculation with PBE was carried out for TlZn3Ga after structural relaxation.

The space group is Pm-3m (No. 221) and the conventional cell measures 5.230, 5.230 and 5.230 Å, with angles of 90.00, 90.00 and 90.00 degrees. The inequivalent atoms are Tl at (0.000, 0.000, 0.000), Zn at (0.000, 0.000, 0.500) and Ga at (0.500, 0.500, 0.500).

Its relative energy among the computed polymorphs is 359 meV/atom. The energy of formation from the pure elements comes out at 631.7 meV/atom.


[10]
A plane-wave DFT calculation with PBE was carried out for TlZn2Ga after structural relaxation.

The space group is R-3m (No. 166, hexagonal axes) and the conventional cell measures 3.2125, 3.2125 and 28.7572 Å, with angles of 90.00, 90.00 and 120.00 degrees. The inequivalent atoms are Tl at (0.0000, 0.0000, 0.0000), Zn at (0.0000, 0.0000, 0.0955) and Ga at (0.0000, 0.0000, 0.5000).

Its relative energy among the computed polymorphs is 60 meV/atom. The energy of formation from the pure elements comes out at 184.9 meV/atom.


[11]
A plane-wave DFT calculation with PBE was carried out for TlZn2Ga3 after structural relaxation.

The space group is P2_1/m (No. 11) and the conventional cell measures 7.357, 5.151 and 7.372 Å, with angles of 90.00, 118.55 and 90.00 degrees. The inequivalent atoms are Tl at (0.101, 0.250, 0.399), Zn at (0.322, 0.000, 0.822), Ga at (0.104, 0.250, 0.983), Ga at (0.324, 0.750, 0.176) and Ga at (0.482, 0.750, 0.603).

The energy of formation from the pure elements comes out at 69.4 meV/atom.


[12]
A plane-wave DFT calculation with PBE was carried out for Zr6TlGa3 after structural relaxation.

The space group is Cmcm (No. 63) and the conventional cell measures 10.592, 10.599 and 7.497 Å, with angles of 90.00, 90.00 and 90.00 degrees. The inequivalent atoms are Zr at (0.000, 0.167, 0.011), Zr at (0.185, 0.500, 0.000), Zr at (0.244, 0.253, 0.250), Tl at (0.000, 0.372, 0.750), Ga at (0.000, 0.371, 0.250) and Ga at (0.123, 0.005, 0.750).

The energy of formation from the pure elements comes out at -397.8 meV/atom.


[13]
A plane-wave DFT calculation with PBE was carried out for ZrTl2Ga after structural relaxation.

The space group is R-3m (No. 166, hexagonal axes) and the conventional cell measures 3.3207, 3.3207 and 32.7086 Å, with angles of 90.00, 90.00 and 120.00 degrees. The inequivalent atoms are Zr at (0.0000, 0.0000, 0.0000), Tl at (0.0000, 0.0000, 0.0907) and Ga at (0.0000, 0.0000, 0.5000).

Its relative energy among the computed polymorphs is 115 meV/atom. The energy of formation from the pure elements comes out at 309.5 meV/atom.


[14]
A plane-wave DFT calculation with PBE was carried out for Zr5TlGa after structural relaxation.

The space group is C2/c (No. 15) and the conventional cell measures 10.322, 5.987 and 10.738 Å, with angles of 90.00, 103.05 and 90.00 degrees. The inequivalent atoms are Zr at (0.000, 0.147, 0.250), Zr at (0.149, 0.400, 0.043), Zr at (0.230, 0.117, 0.670), Tl at (0.000, 0.359, 0.750) and Ga at (0.000, 0.000, 0.000).

The energy of formation from the pure elements comes out at 57.7 meV/atom.


[15]
A plane-wave DFT calculation with PBE was carried out for ZrTlGa3 after structural relaxation.

The space group is Pm-3m (No. 221) and the conventional cell measures 5.150, 5.150 and 5.150 Å, with angles of 90.00, 90.00 and 90.00 degrees. The inequivalent atoms are Zr at (0.000, 0.000, 0.000), Tl at (0.500, 0.500, 0.500) and Ga at (0.000, 0.500, 0.500).

Its relative energy among the computed polymorphs is 559 meV/atom. The energy of formation from the pure elements comes out at 943.4 meV/atom.


[16]
A plane-wave DFT calculation with PBE was carried out for Zr4TlGa after structural relaxation.

The space group is P4/mcc (No. 124) and the conventional cell measures 6.840, 6.840 and 5.659 Å, with angles of 90.00, 90.00 and 90.00 degrees. The inequivalent atoms are Zr at (0.140, 0.338, 0.000), Tl at (0.500, 0.500, 0.250) and Ga at (0.000, 0.000, 0.250).

The energy of formation from the pure elements comes out at -224.1 meV/atom.


[17]
A plane-wave DFT calculation with PBE was carried out for ZrTl2Ga after structural relaxation.

The space group is Fm-3m (No. 225) and the conventional cell measures 7.308, 7.308 and 7.308 Å, with angles of 90.00, 90.00 and 90.00 degrees. The inequivalent atoms are Zr at (0.000, 0.000, 0.000), Tl at (0.250, 0.250, 0.250) and Ga at (0.000, 0.000, 0.500).

Its relative energy among the computed polymorphs is 133 meV/atom. The energy of formation from the pure elements comes out at 326.9 meV/atom.


[18]
A plane-wave DFT calculation with PBE was carried out for Zr6TlGa after structural relaxation.

The space group is Pm-3 (No. 200) and the conventional cell measures 5.592, 5.592 and 5.592 Å, with angles of 90.00, 90.00 and 90.00 degrees. The inequivalent atoms are Zr at (0.000, 0.247, 0.500), Tl at (0.500, 0.500, 0.500) and Ga at (0.000, 0.000, 0.000).

Its relative energy among the computed polymorphs is 11 meV/atom. The energy of formation from the pure elements comes out at -206.0 meV/atom.


[19]
A plane-wave DFT calculation with PBE was carried out for ZrTlGa2 after structural relaxation.

The space group is I-42d (No. 122) and the conventional cell measures 7.671, 7.671 and 5.995 Å, with angles of 90.00, 90.00 and 90.00 degrees. The inequivalent atoms are Zr at (0.000, 0.000, 0.000), Tl at (0.000, 0.000, 0.500) and Ga at (0.247, 0.250, 0.625).

Its relative energy among the computed polymorphs is 0 meV/atom. The energy of formation from the pure elements comes out at 85.4 meV/atom.


[20]
A plane-wave DFT calculation with PBE was carried out for ZrTl2Ga after structural relaxation.

The space group is I-42d (No. 122) and the conventional cell measures 7.998, 7.998 and 6.028 Å, with angles of 90.00, 90.00 and 90.00 degrees. The inequivalent atoms are Zr at (0.000, 0.000, 0.000), Tl at (0.227, 0.750, 0.625) and Ga at (0.000, 0.000, 0.500).

Its relative energy among the computed polymorphs is 0 meV/atom. The energy of formation from the pure elements comes out at 194.4 meV/atom.


[21]
A plane-wave DFT calculation with PBE was carried out for Zr6Tl2Ga after structural relaxation.

The space group is Immm (No. 71) and the conventional cell measures 4.740, 6.721 and 14.296 Å, with angles of 90.00, 90.00 and 90.00 degrees. The inequivalent atoms are Zr at (0.000, 0.237, 0.000), Zr at (0.000, 0.258, 0.341), Tl at (0.000, 0.500, 0.168) and Ga at (0.000, 0.500, 0.500).

The energy of formation from the pure elements comes out at 204.7 meV/atom.


[22]
A plane-wave DFT calculation with PBE was carried out for Zr2Tl2Ga after structural relaxation.

The space group is P4/mbm (No. 127) and the conventional cell measures 7.250, 7.250 and 4.550 Å, with angles of 90.00, 90.00 and 90.00 degrees. The inequivalent atoms are Zr at (0.157, 0.343, 0.000), Tl at (0.155, 0.655, 0.500) and Ga at (0.000, 0.000, 0.000).

Its relative energy among the computed polymorphs is 0 meV/atom. The energy of formation from the pure elements comes out at -49.1 meV/atom.


[23]
A plane-wave DFT calculation with PBE was carried out for Zr7Tl3Ga after structural relaxation.

The space group is Immm (No. 71) and the conventional cell measures 5.299, 9.302 and 10.604 Å, with angles of 90.00, 90.00 and 90.00 degrees. The inequivalent atoms are Zr at (0.000, 0.000, 0.000), Zr at (0.000, 0.203, 0.500), Zr at (0.000, 0.334, 0.243), Tl at (0.000, 0.000, 0.274), Tl at (0.000, 0.500, 0.000) and Ga at (0.000, 0.500, 0.500).

The energy of formation from the pure elements comes out at 108.0 meV/atom.


Number 1: E_tot -154.7 eV per cell. Number 2: E_tot -59.7 eV per cell. Number 3: E_tot -11.5 eV per cell. Number 4: E_tot -28.6 eV per cell. Number 5: E_tot -8.5 eV per cell. Number 6: E_tot -47.5 eV per cell. Number 7: E_tot -49.6 eV per cell. Number 8: E_tot -22.6 eV per cell. Number 9: E_tot -6.1 eV per cell. Number 10: E_tot -21.6 eV per cell. Number 11: E_tot -27.2 eV per cell. Number 12: E_tot -266.9 eV per cell. Number 13: E_tot -45.2 eV per cell. Number 14: E_tot -190.9 eV per cell. Number 15: E_tot -15.3 eV per cell. Number 16: E_tot -81.9 eV per cell. Number 17: E_tot -60.0 eV per cell. Number 18: E_tot -58.3 eV per cell. Number 19: E_tot -66.5 eV per cell. Number 20: E_tot -62.1 eV per cell. Number 21: E_tot -114.4 eV per cell. Number 22: E_tot -50.2 eV per cell. Number 23: E_tot -137.5 eV per cell.